(1)
Ac3In7Ni2: optimized geometry, PBE-GGA.

Results
Its raw total energy is -47.63 eV for the cell shown. As for the volume: 27.07 Å³/atom.

The structure in CIF format:
```
data_Ac3In7Ni2
_cell_length_a 4.805
_cell_length_b 4.774
_cell_length_c 14.355
_cell_angle_alpha 90.00
_cell_angle_beta 99.47
_cell_angle_gamma 90.00
_space_group_name_H-M_alt 'P 1 2/m 1'
_space_group_IT_number 10
loop_
_space_group_symop_operation_xyz
'x,y,z'
'-x,-y,-z'
'-x,y,-z'
'x,-y,z'
loop_
_atom_site_label
_atom_site_fract_x
_atom_site_fract_y
_atom_site_fract_z
_atom_site_occupancy
Ac1 0.000 0.000 0.000 1
Ac2 0.316 0.500 0.636 1
In1 0.090 0.500 0.178 1
In2 0.220 0.000 0.439 1
In3 0.412 0.000 0.822 1
In4 0.500 0.500 0.000 1
Ni1 0.126 0.000 0.256 1
```



(2)
La3PrPb4: optimized geometry, PBE-GGA.

Results
The calculation puts the energy above the most stable polymorph in this dataset at 11.8 kJ/mol of atoms. As for the volume: 34.32 Å³/atom.

The structure in CIF format:
```
data_La3PrPb4
_cell_length_a 3.780
_cell_length_b 7.633
_cell_length_c 19.033
_cell_angle_alpha 90.00
_cell_angle_beta 90.00
_cell_angle_gamma 90.00
_space_group_name_H-M_alt 'I m m m'
_space_group_IT_number 71
_space_group_name_Hall '-I 2 2'
loop_
_atom_site_label
_atom_site_fract_x
_atom_site_fract_y
_atom_site_fract_z
_atom_site_occupancy
La1 0.000 0.000 0.000 1
La2 0.000 0.500 0.216 1
Pr1 0.000 0.000 0.500 1
Pb1 0.000 0.287 0.373 1
```



(3)
YTlReO6: optimized geometry, PBE-GGA.

Results
Its raw total energy is -67.47 eV for the cell shown. As for the volume: 15.04 Å³/atom.

The structure in CIF format:
```
data_YTlReO6
_cell_length_a 5.6101
_cell_length_b 5.6101
_cell_length_c 4.9667
_cell_angle_alpha 90.00
_cell_angle_beta 90.00
_cell_angle_gamma 120.00
_space_group_name_H-M_alt 'P 3 1 2'
_space_group_IT_number 149
loop_
_space_group_symop_operation_xyz
'x,y,z'
'-y,x-y,z'
'-x+y,-x,z'
'-y,-x,-z'
'-x+y,y,-z'
'x,x-y,-z'
loop_
_atom_site_label
_atom_site_fract_x
_atom_site_fract_y
_atom_site_fract_z
_atom_site_occupancy
Y1 0.0000 0.0000 0.0000 1
Tl1 0.6667 0.3333 0.5000 1
Re1 0.3333 0.6667 0.0000 1
O1 0.0608 0.3779 0.2176 1
```



(4)
BeOsW2: optimized geometry, PBE-GGA.

Results
Its raw total energy is -40.36 eV for the cell shown. As for the volume: 14.26 Å³/atom.

The structure in CIF format:
```
data_BeOsW2
_cell_length_a 2.795
_cell_length_b 4.224
_cell_length_c 4.886
_cell_angle_alpha 90.00
_cell_angle_beta 98.65
_cell_angle_gamma 90.00
_space_group_name_H-M_alt 'P 1 m 1'
_space_group_IT_number 6
loop_
_space_group_symop_operation_xyz
'x,y,z'
'x,-y,z'
loop_
_atom_site_label
_atom_site_fract_x
_atom_site_fract_y
_atom_site_fract_z
_atom_site_occupancy
Be1 0.000 0.000 0.000 1
Os1 0.028 0.500 0.284 1
W1 0.441 0.500 0.814 1
W2 0.626 0.000 0.494 1
```



(5)
LaGaO2F: optimized geometry, PBE-GGA.

Results
Its raw total energy is -29.75 eV for the cell shown. As for the volume: 19.77 Å³/atom.

The structure in CIF format:
```
data_LaGaO2F
_cell_length_a 4.545
_cell_length_b 4.545
_cell_length_c 4.786
_cell_angle_alpha 90.00
_cell_angle_beta 90.00
_cell_angle_gamma 90.00
_space_group_name_H-M_alt 'P 4/m m m'
_space_group_IT_number 123
_space_group_name_Hall '-P 4 2'
loop_
_atom_site_label
_atom_site_fract_x
_atom_site_fract_y
_atom_site_fract_z
_atom_site_occupancy
La1 0.000 0.000 0.000 1
Ga1 0.500 0.500 0.500 1
O1 0.000 0.500 0.000 1
F1 0.000 0.000 0.500 1
```



(6)
Y5ScTe4: optimized geometry, PBE-GGA.

Results
Its raw total energy is -120.96 eV for the cell shown. As for the volume: 30.56 Å³/atom.

The structure in CIF format:
```
data_Y5ScTe4
_cell_length_a 18.115
_cell_length_b 4.104
_cell_length_c 8.410
_cell_angle_alpha 90.00
_cell_angle_beta 102.18
_cell_angle_gamma 90.00
_space_group_name_H-M_alt 'C 1 2/m 1'
_space_group_IT_number 12
loop_
_space_group_symop_operation_xyz
'x,y,z'
'-x,-y,-z'
'-x,y,-z'
'x,-y,z'
'x+1/2,y+1/2,z'
'-x+1/2,-y+1/2,-z'
'-x+1/2,y+1/2,-z'
'x+1/2,-y+1/2,z'
loop_
_atom_site_label
_atom_site_fract_x
_atom_site_fract_y
_atom_site_fract_z
_atom_site_occupancy
Y1 0.000 0.000 0.000 1
Y2 0.167 0.500 0.290 1
Y3 0.186 0.500 0.861 1
Sc1 0.000 0.000 0.500 1
Te1 0.008 0.500 0.744 1
Te2 0.163 0.000 0.566 1
```